No. 1
VASP calculation (PBE) on a geometry-optimized Y2Ho2Ge3 structure.

Properties
The calculation puts the energy of formation at -647.9 meV per atom.

Unit cell a=10.563 b=4.591 c=8.033 alpha=90.00 beta=102.47 gamma=90.00
Space group C2/m (No. 12)
Asymmetric unit:
Y  0.129  0.000  0.352 [4 per cell]
Ho  0.138  0.500  0.916 [4 per cell]
Ge  0.000  0.000  0.000 [2 per cell]
Ge  0.206  0.000  0.720 [4 per cell]

---

No. 2
VASP calculation (PBE) on a geometry-optimized Ta2MnInH structure.

Properties
The value obtained for the total energy is -7.73 eV per atom.

Unit cell a=4.049 b=4.049 c=4.423 alpha=90.00 beta=90.00 gamma=90.00
Space group P4/mmm (No. 123)
Asymmetric unit:
Ta  0.000  0.500  0.000 [2 per cell]
Mn  0.000  0.000  0.500 [1 per cell]
In  0.500  0.500  0.500 [1 per cell]
H  0.000  0.000  0.000 [1 per cell]

---

No. 3
VASP calculation (PBE) on a geometry-optimized ZrRu3I structure.

Properties
The energy above the most stable polymorph in this dataset is 260 meV per atom. The calculation puts the uncorrected formation energy at 1.659 eV/atom.

Unit cell a=4.921 b=4.921 c=4.921 alpha=90.00 beta=90.00 gamma=90.00
Space group Pm-3m (No. 221)
Asymmetric unit:
Zr  0.000  0.000  0.000 [1 per cell]
Ru  0.000  0.000  0.500 [3 per cell]
I  0.500  0.500  0.500 [1 per cell]

---

No. 4
VASP calculation (PBE) on a geometry-optimized K2PuGeO6 structure.

Properties
The calculation puts the uncorrected formation energy at -2.018 eV/atom.

Unit cell a=8.086 b=8.086 c=8.086 alpha=90.00 beta=90.00 gamma=90.00
Space group Fm-3m (No. 225)
Asymmetric unit:
K  0.250  0.250  0.250 [8 per cell]
Pu  0.000  0.000  0.000 [4 per cell]
Ge  0.000  0.000  0.500 [4 per cell]
O  0.000  0.000  0.259 [24 per cell]

---

No. 5
VASP calculation (PBE) on a geometry-optimized CsRh2I2 structure.

Properties
The energy above the most stable polymorph in this dataset is 283 meV per atom. The calculation puts the uncorrected formation energy at 0.324 eV/atom.

Unit cell a=8.598 b=8.598 c=3.651 alpha=90.00 beta=90.00 gamma=90.00
Space group P4/mbm (No. 127)
Asymmetric unit:
Cs  0.000  0.000  0.000 [2 per cell]
Rh  0.106  0.394  0.000 [4 per cell]
I  0.158  0.658  0.500 [4 per cell]

---

No. 6
VASP calculation (PBE) on a geometry-optimized Tm3Rh structure.

Properties
The calculation puts the energy of formation at -244.7 meV per atom.

Unit cell a=3.359 b=3.620 c=8.855 alpha=90.00 beta=90.00 gamma=90.00
Space group Pmm2 (No. 25)
Asymmetric unit:
Tm  0.000  0.000  0.000 [1 per cell]
Tm  0.000  0.500  0.340 [1 per cell]
Tm  0.500  0.500  0.720 [1 per cell]
Rh  0.500  0.000  0.488 [1 per cell]